Entry 1:
The following is a DFT calculation (GGA-PBE) of LaCdAu4 after structural relaxation.

The space group is C2/m (No. 12) and the conventional cell measures 8.247, 4.761 and 6.847 Å, with angles of 90.00, 90.11 and 90.00 degrees. Symmetry generates all atoms from La at (0.000, 0.000, 0.000), Cd at (0.000, 0.000, 0.500), Au at (0.166, 0.500, 0.727) and Au at (0.167, 0.500, 0.274).

Its formation energy from the elements is -0.5098 eV/atom. The value obtained for the uncorrected energy is -3.668 eV/atom. As for the total moment: 0.00 μB/atom.

***

Entry 2:
The following is a DFT calculation (GGA-PBE) of PdN2ClF after structural relaxation.

The space group is P4/mmm (No. 123) and the conventional cell measures 3.982, 3.982 and 4.727 Å, with angles of 90.00, 90.00 and 90.00 degrees. Symmetry generates all atoms from Pd at (0.000, 0.000, 0.000), N at (0.000, 0.500, 0.500), Cl at (0.000, 0.000, 0.500) and F at (0.500, 0.500, 0.000).

As for the energy relative to the elements, uncorrected: 1.978 eV per atom. The value obtained for the distance to the lowest polymorph of the same formula is 753.8 meV per atom. The value obtained for the uncorrected energy is -3.134 eV/atom. As for the total moment: 0.72 μB/atom.

***

Entry 3:
The following is a DFT calculation (GGA-PBE) of LaYMn2 after structural relaxation.

The space group is I-42d (No. 122) and the conventional cell measures 7.776, 7.776 and 6.278 Å, with angles of 90.00, 90.00 and 90.00 degrees. Symmetry generates all atoms from La at (0.000, 0.000, 0.000), Y at (0.000, 0.000, 0.500) and Mn at (0.248, 0.250, 0.125).

Its formation energy from the elements is 0.6346 eV/atom. The value obtained for the distance to the lowest polymorph of the same formula is 525.8 meV per atom. The value obtained for the uncorrected energy is -6.798 eV/atom. As for the total moment: 1.22 μB/atom.

***

Entry 4:
The following is a DFT calculation (GGA-PBE) of Tb8Y4Ho3 after structural relaxation.

The space group is C2/m (No. 12) and the conventional cell measures 13.390, 12.754 and 6.772 Å, with angles of 90.00, 120.37 and 90.00 degrees. Symmetry generates all atoms from Tb at (0.000, 0.142, 0.000), Tb at (0.000, 0.246, 0.500), Tb at (0.229, 0.000, 0.465), Tb at (0.231, 0.000, 0.991), Y at (0.000, 0.500, 0.000), Y at (0.000, 0.500, 0.500), Y at (0.250, 0.250, 0.500), Ho at (0.000, 0.000, 0.500) and Ho at (0.250, 0.250, 0.000).

Its formation energy from the elements is 0.3943 eV/atom. The value obtained for the distance to the lowest polymorph of the same formula is 258.0 meV per atom. The value obtained for the uncorrected energy is -4.715 eV/atom. As for the total moment: 0.03 μB/atom.

***

Entry 5:
The following is a DFT calculation (GGA-PBE) of RbBa2InIr after structural relaxation.

The space group is P4/mmm (No. 123) and the conventional cell measures 6.206, 6.206 and 5.395 Å, with angles of 90.00, 90.00 and 90.00 degrees. Symmetry generates all atoms from Rb at (0.000, 0.000, 0.000), Ba at (0.000, 0.500, 0.500), In at (0.500, 0.500, 0.000) and Ir at (0.500, 0.500, 0.500).

Its formation energy from the elements is -0.1029 eV/atom. The value obtained for the uncorrected energy is -3.385 eV/atom. As for the total moment: 0.06 μB/atom.

***

Entry 6:
The following is a DFT calculation (GGA-PBE) of Nd2DyC2I2 after structural relaxation.

The space group is I4/mmm (No. 139) and the conventional cell measures 4.519, 4.519 and 19.693 Å, with angles of 90.00, 90.00 and 90.00 degrees. Symmetry generates all atoms from Nd at (0.000, 0.000, 0.080), Dy at (0.000, 0.000, 0.500), C at (0.000, 0.500, 0.000) and I at (0.000, 0.000, 0.335).

As for the energy relative to the elements, uncorrected: -0.486 eV per atom. The value obtained for the uncorrected energy is -5.584 eV/atom. As for the total moment: 0.00 μB/atom.

***

Entry 7:
The following is a DFT calculation (GGA-PBE) of Li2FeW after structural relaxation.

The space group is Pmmm (No. 47) and the conventional cell measures 2.529, 4.548 and 4.804 Å, with angles of 90.00, 90.00 and 90.00 degrees. Symmetry generates all atoms from Li at (0.000, 0.000, 0.244), Fe at (0.500, 0.500, 0.000) and W at (0.500, 0.500, 0.500).

Its formation energy from the elements is 0.4976 eV/atom. The value obtained for the distance to the lowest polymorph of the same formula is 225.9 meV per atom. The value obtained for the uncorrected energy is -5.813 eV/atom. As for the total moment: 0.30 μB/atom.

***

Entry 8:
The following is a DFT calculation (GGA-PBE) of CsK2HSe after structural relaxation.

The space group is P4/mmm (No. 123) and the conventional cell measures 5.328, 5.328 and 5.650 Å, with angles of 90.00, 90.00 and 90.00 degrees. Symmetry generates all atoms from Cs at (0.000, 0.000, 0.000), K at (0.000, 0.500, 0.500), H at (0.000, 0.000, 0.500) and Se at (0.500, 0.500, 0.000).

The value obtained for the uncorrected energy is -2.625 eV/atom. As for the total moment: 0.00 μB/atom.

***

Q: Look up the uncorrected energy of the fifth one.
A: -3.385 eV/atom

***

Q: Number 6 is which compound?
A: Nd2DyC2I2

***

Q: Among the records above, which one has the lowest uncorrected energy?
A: LaYMn2

***

Q: Which of these has the lowest uncorrected energy?
A: LaYMn2